Compound: SrTa2Tl
Source: Alexandria via LeMat-Bulk
Functional: PBE
Structure: optimized geometry

## Properties
formation energy from the elements = 14.7 kcal/mol of atoms
space-group type = Cm
relative energy among the computed polymorphs = 275 meV/atom
magnetization = 0.00 Bohr magnetons per cell

Cell: 4.9292 4.9292 7.1234 Å, 84.87 84.87 36.24°
Last column: nearest neighbours and their distance in Å.
Sites, in units of the cell vectors:
1 Sr 0.2436 0.2436 0.2444  2 Sr 3.07, 1 Ta 3.26, 3 Tl 3.32-3.40
2 Ta 0.0146 0.0146 0.9278  5 Ta 2.78-3.07
3 Ta 0.7495 0.7495 0.7807  5 Ta 2.78-3.07, 3 Tl 3.05-3.09
4 Tl 0.4923 0.4923 0.5472  5 Ta 3.05-3.14, 2 Tl 3.07, 3 Sr 3.32-3.40